{
  "formula": "CaTb2Nd2Sm2",
  "functional": "PBE",
  "state": "relaxed",
  "cell": [[5.163, 0.000, 0.000], [-2.581, 5.755, 0.265], [0.000, -1.556, 8.048]],
  "species": ["Tb", "Nd", "Tb", "Sm", "Nd", "Sm", "Ca"],
  "fractional_positions": [[0.425, 0.850, 0.296], [0.717, 0.433, 0.149], [0.575, 0.150, 0.704], [0.856, 0.711, 0.567], [0.283, 0.567, 0.851], [0.144, 0.289, 0.433], [0.000, 0.000, 0.000]],
  "dft_energy_ev_per_atom": -4.2691,
  "magnetic_moment_mub_per_atom": 0.00,
  "dos_at_fermi_per_ev_atom": 1.48,
  "formation_enthalpy_0k_ev_per_atom": 0.0504,
  "sg": "No. 12"
}